1.
VASP calculation (GGA-PBE) on a geometry-optimized Rb2Pd2Pt structure.

Unit cell a=6.8290 b=6.8290 c=5.5115 alpha=90.00 beta=90.00 gamma=90.00
Positions (direct):
Rb  0.1839  0.3161  0.0000
Rb  0.3161  0.8161  0.0000
Rb  0.6839  0.1839  0.0000
Rb  0.8161  0.6839  0.0000
Pd  0.1349  0.6349  0.5000
Pd  0.3651  0.1349  0.5000
Pd  0.6349  0.8651  0.5000
Pd  0.8651  0.3651  0.5000
Pt  0.0000  0.0000  0.5000
Pt  0.5000  0.5000  0.5000

Output
energy of formation: 126 meV per atom
theoretical density: 7.5 Mg/m³


2.
VASP calculation (GGA-PBE) on a geometry-optimized CrFeI2N structure.

Unit cell a=5.2885 b=5.2885 c=3.4490 alpha=90.00 beta=90.00 gamma=90.00
Positions (direct):
Cr  0.0000  0.0000  0.0000
Fe  0.5000  0.5000  0.5000
I  0.0000  0.5000  0.5000
I  0.5000  0.0000  0.5000
N  0.5000  0.5000  0.0000

Output
energy above the most stable polymorph in this dataset: 408.1 meV per atom
theoretical density: 6.5 Mg/m³
uncorrected formation energy: 94.4 kJ/mol of atoms